Material: CdNiAs2Cl
Method: DFT, PBEsol
State: relaxed

Structure (POSCAR):
```
CdNiAs2Cl
1.0
4.748 0.000 0.000
0.000 4.748 0.000
0.000 0.000 4.951
Cd Ni As Cl
1 1 2 1
Direct
0.000 0.000 0.000 Cd
0.500 0.500 0.000 Ni
0.000 0.500 0.500 As
0.500 0.000 0.500 As
0.000 0.000 0.500 Cl
```

Properties
DFT total energy in eV/cell: -13.4
SG: No. 123
E_form (uncorrected) in eV/atom: 1.24